First-principles (GGA-PBE) data for a relaxed LiPmThZn crystal, as listed in the Alexandria database.

```
LiPmThZn
1.0
0.000 3.682 3.682
3.682 0.000 3.682
3.682 3.682 0.000
Li Pm Th Zn
1 1 1 1
Direct
0.000 0.000 0.000 Li
0.750 0.750 0.750 Pm
0.250 0.250 0.250 Th
0.500 0.500 0.500 Zn
```

## Properties
Total moment in μB/atom: 0.0000
Calculated formation energy in eV/atom: -0.021
VASP energy in eV/cell: -15.4